A relaxed PuVF2 crystal, computed with PBE with a Hubbard U.

* space group: R-3m, No. 166
* VASP energy: -32.024 eV/f.u.

Unit cell a=3.400 b=3.400 c=7.486 alpha=76.88 beta=76.88 gamma=60.00
Element x y z (fractional)
F  0.877  0.877  0.370
F  0.123  0.123  0.630
V  0.500  0.500  0.500
Pu  0.000  0.000  0.000